VASP calculation (PBE) on NaTa3As after structural relaxation. Values from VASP.

```
&SYSTEM
  ibrav = 0, nat = 5, ntyp = 3
/
ATOMIC_SPECIES
Ta 180.95 Ta.upf
Na 22.99 Na.upf
As 74.92 As.upf
CELL_PARAMETERS angstrom
4.674 0.000 0.000
0.000 4.674 0.000
0.000 0.000 4.674
ATOMIC_POSITIONS angstrom
Ta 0.000 0.000 2.337
Ta 2.337 0.000 0.000
Na 0.000 0.000 0.000
Ta 0.000 2.337 0.000
As 2.337 2.337 2.337
```

Values from the calculation:
Total magnetic moment, Bohr magnetons per cell: 0.000
Energy relative to the elements, eV per atom: 2.29
Relative energy among the computed polymorphs, meV per atom: 1193
Space-group type: Pm-3m, No. 221
DOS(E_F), states/eV per cell: 4.07